This record from Alexandria describes ScFe2PdN after structural relaxation. The functional is PBE.

a = 4.559 Å, b = 4.737 Å, c = 4.559 Å
α = 90.00°, β = 90.00°, γ = 90.00°
Site moments in Bohr magnetons follow the coordinates.
Atoms (fractional coordinates):
Sc  0.000  0.000  0.000  -0.51
N  0.500  0.500  0.500  1.12
Pd  0.000  0.500  0.000  0.07
Fe  0.500  0.000  0.000  2.68
Fe  0.000  0.000  0.500  2.43

## Properties
raw formation energy: 2.22 eV/atom
total DFT energy (no corrections): -25.653 eV for the cell shown

=====

This record from Alexandria describes Sc2FePdN after structural relaxation. The functional is PBE.

a = 4.515 Å, b = 4.515 Å, c = 3.578 Å
α = 90.00°, β = 90.00°, γ = 90.00°
Site moments in Bohr magnetons follow the coordinates.
Atoms (fractional coordinates):
Fe  0.000  0.000  0.500  0.73
N  0.000  0.000  0.000  0.01
Pd  0.500  0.500  0.500  0.07
Sc  0.000  0.500  0.000  -0.05
Sc  0.500  0.000  0.000  -0.05

## Properties
raw formation energy: -0.94 eV/atom
total DFT energy (no corrections): -39.355 eV for the cell shown

=====

This record from Alexandria describes FePdSeN2 after structural relaxation. The functional is PBE.

a = 3.898 Å, b = 3.898 Å, c = 5.516 Å
α = 90.00°, β = 90.00°, γ = 90.00°
Site moments in Bohr magnetons follow the coordinates.
Atoms (fractional coordinates):
N  0.500  0.000  0.000  0.97
N  0.000  0.500  0.000  0.97
Pd  0.000  0.000  0.000  0.48
Se  0.000  0.000  0.500  0.17
Fe  0.500  0.500  0.500  3.34

## Properties
raw formation energy: 1.56 eV/atom
total DFT energy (no corrections): -25.998 eV for the cell shown

=====

This record from Alexandria describes FePdSeN2 after structural relaxation. The functional is PBE.

a = 3.556 Å, b = 3.556 Å, c = 5.522 Å
α = 90.00°, β = 90.00°, γ = 90.00°
Atoms (fractional coordinates):
N  0.000  0.500  0.000
N  0.500  0.000  0.000
Se  0.000  0.000  0.500
Pd  0.500  0.500  0.500
Fe  0.000  0.000  0.000

## Properties
raw formation energy: 0.74 eV/atom
total DFT energy (no corrections): -30.104 eV for the cell shown

=====

This record from Alexandria describes FePd2SeN after structural relaxation. The functional is PBE.

a = 4.872 Å, b = 3.359 Å, c = 4.872 Å
α = 90.00°, β = 90.00°, γ = 90.00°
Site moments in Bohr magnetons follow the coordinates.
Atoms (fractional coordinates):
Fe  0.000  0.000  0.000  1.49
N  0.000  0.500  0.000  -0.14
Se  0.500  0.500  0.500  -0.01
Pd  0.500  0.000  0.000  0.08
Pd  0.000  0.000  0.500  0.19

## Properties
raw formation energy: 0.49 eV/atom
total DFT energy (no corrections): -28.217 eV for the cell shown

=====

This record from Alexandria describes Ta2FePdN after structural relaxation. The functional is PBE.

a = 4.232 Å, b = 4.232 Å, c = 3.826 Å
α = 90.00°, β = 90.00°, γ = 90.00°
Site moments in Bohr magnetons follow the coordinates.
Atoms (fractional coordinates):
Pd  0.500  0.500  0.500  -0.02
Ta  0.000  0.500  0.000  -0.07
Ta  0.500  0.000  0.000  -0.07
N  0.000  0.000  0.000  0.03
Fe  0.000  0.000  0.500  1.72

## Properties
raw formation energy: -0.47 eV/atom
total DFT energy (no corrections): -48.017 eV for the cell shown

=====

Look up the total DFT energy (no corrections) of the fifth one. -28.217 eV for the cell shown

=====

Please write out number 6 again, unchanged.
This record from Alexandria describes Ta2FePdN after structural relaxation. The functional is PBE.

a = 4.232 Å, b = 4.232 Å, c = 3.826 Å
α = 90.00°, β = 90.00°, γ = 90.00°
Site moments in Bohr magnetons follow the coordinates.
Atoms (fractional coordinates):
Pd  0.500  0.500  0.500  -0.02
Ta  0.000  0.500  0.000  -0.07
Ta  0.500  0.000  0.000  -0.07
N  0.000  0.000  0.000  0.03
Fe  0.000  0.000  0.500  1.72

## Properties
raw formation energy: -0.47 eV/atom
total DFT energy (no corrections): -48.017 eV for the cell shown

=====

raw formation energy of number 3 (FePdSeN2)? 1.56 eV/atom